No. 1
10
Lattice="6.1601 0.0000 0.0000 0.0000 7.2433 0.0000 -0.0065 0.0000 7.4373" Properties=species:S:1:pos:R:3 comment="RbTl3Ag (PBE-GGA, optimized geometry)" dos_at_fermi_per_ev_atom=0.724 relative_energy_mev_per_atom=63 formation_energy_ev_per_fu=0.16 spacegroup="No. 4" dft_energy_ev_per_cell=-21.5 pbc="T T T"
Rb 1.2425 0.0000 1.8587
Rb 4.9112 3.6216 5.5786
Tl 1.3401 6.0787 5.5769
Tl 1.7907 3.6432 3.4510
Tl 1.7992 3.6409 0.2666
Tl 4.3545 0.0193 7.1707
Tl 4.3629 0.0215 3.9863
Tl 4.8136 2.4571 1.8604
Ag 2.1151 1.6138 5.5774
Ag 4.0385 5.2354 1.8600



No. 2
6
Lattice="0.0000 4.1735 4.1735 4.1735 0.0000 4.1735 4.1735 4.1735 0.0000" Properties=species:S:1:pos:R:3 comment="RbTlAg4 (PBE-GGA, optimized geometry)" dos_at_fermi_per_ev_atom=1.046 formation_energy_ev_per_fu=0.72 spacegroup="No. 216" dft_energy_ev_per_cell=-14.0 pbc="T T T"
Rb 0.0000 0.0000 0.0000
Tl 6.2603 6.2603 6.2603
Ag 3.1347 3.1347 3.1347
Ag 5.2123 5.2123 3.1347
Ag 5.2123 3.1347 5.2123
Ag 3.1347 5.2123 5.2123



No. 3
4
Lattice="4.4015 0.0000 0.0000 0.0000 4.4015 0.0000 0.0000 0.0000 8.6901" Properties=species:S:1:pos:R:3 comment="Rb2TlAg (PBE-GGA, optimized geometry)" dos_at_fermi_per_ev_atom=0.541 relative_energy_mev_per_atom=90 formation_energy_ev_per_fu=0.35 spacegroup="No. 123" dft_energy_ev_per_cell=-6.8 pbc="T T T"
Rb 0.0000 0.0000 2.0308
Rb 0.0000 0.0000 6.6594
Tl 2.2008 2.2008 4.3451
Ag 2.2008 2.2008 0.0000